Computed, not measured: crystalline Tm3Tl3CuTe8 at its relaxed geometry at the PBE level of DFT.

Cell: 8.589 8.588 9.649 Å, 116.41 90.00 120.00°
Positions (direct):
Tm: 0.500 0.000 0.500
Tm: 0.500 0.500 0.500
Tm: 0.000 0.500 0.500
Tl: 0.000 0.000 0.000
Tl: 0.000 0.500 0.000
Tl: 0.500 0.500 0.000
Cu: 0.000 0.000 0.500
Te: 0.262 0.524 0.286
Te: 0.738 0.476 0.714
Te: 0.779 0.559 0.304
Te: 0.221 0.441 0.696
Te: 0.778 0.025 0.303
Te: 0.222 0.975 0.697
Te: 0.247 0.025 0.303
Te: 0.753 0.975 0.697

## Properties
Uncorrected energy   -60.406 eV per cell
Volume   35.25 Å³ per atom
Formation energy from raw total energies   -0.71 eV/atom
Total moment   0.00 Bohr magnetons per cell
Space-group type   C2/m (12)